# 1
This record from the Alexandria database describes Np2RuPb after structural relaxation. The functional is PBE-GGA.

```
Np2RuPb
1.0
-3.083 0.983 -0.835
-1.798 -1.799 -2.167
-5.289 -5.494 6.374
Np Pb Ru
2 1 1
direct
0.264 0.264 0.208
0.736 0.736 0.792
0.500 0.500 0.500
0.000 0.000 0.000
```

* D(E_F): 9.27 states/eV/f.u.
* DFT formation energy: 6.754 kcal/mol of atoms
* offset from the most stable computed form: 69 meV/atom


# 2
This record from the Alexandria database describes YIrPb2F after structural relaxation. The functional is PBE-GGA.

```
YIrPb2F
1.0
-0.004 -2.980 5.112
3.652 -1.616 -0.939
2.696 4.550 2.655
Pb Y Ir F
2 1 1 1
direct
0.000 0.000 0.500
0.500 0.000 0.000
0.000 0.000 0.000
0.500 0.500 0.500
0.000 0.500 0.000
```

* D(E_F): 4.42 states/eV/f.u.
* uncorrected energy: -0.1811 hartree per atom


# 3
This record from the Alexandria database describes TbSm7Er3 after structural relaxation. The functional is PBE-GGA.

```
TbSm7Er3
1.0
4.753 -0.104 -2.968
-1.083 9.682 -2.073
-1.067 -0.737 8.904
Tb Sm Er
1 7 3
direct
0.500 0.500 0.500
0.917 0.830 0.917
0.854 0.708 0.354
0.678 0.359 0.178
0.322 0.641 0.822
0.500 0.000 0.500
0.146 0.292 0.646
0.083 0.170 0.083
0.278 0.999 0.779
0.000 0.500 0.000
0.722 0.001 0.221
```

* D(E_F): 15.51 states/eV/f.u.
* DFT formation energy: 2.873 kcal/mol of atoms
* offset from the most stable computed form: 0 meV/atom


# 4
This record from the Alexandria database describes TaTi2V9 after structural relaxation. The functional is PBE-GGA.

```
TaTi2V9
1.0
-2.829 -3.868 -1.953
-1.025 -4.170 2.888
-7.742 0.721 2.929
Ta Ti V
1 2 9
direct
0.000 0.000 0.000
0.854 0.854 0.437
0.146 0.146 0.563
0.667 0.667 0.999
0.333 0.333 0.001
0.500 0.500 0.500
0.415 0.415 0.250
0.920 0.415 0.250
0.415 0.920 0.250
0.585 0.585 0.750
0.585 0.080 0.750
0.080 0.585 0.750
```

* D(E_F): 19.79 states/eV/f.u.
* DFT formation energy: 3.512 kcal/mol of atoms


# 5
This record from the Alexandria database describes SrCaP after structural relaxation. The functional is PBE-GGA.

```
SrCaP
1.0
5.119 0.000 0.000
2.560 4.434 0.000
2.560 1.478 4.180
Ca P Sr
1 1 1
direct
0.000 0.000 0.000
0.500 0.500 0.500
0.750 0.750 0.750
```

* D(E_F): 2.27 states/eV/f.u.
* DFT formation energy: 0.330 kcal/mol of atoms


# 6
This record from the Alexandria database describes Li2Sc2P after structural relaxation. The functional is PBE-GGA.

```
Li2Sc2P
1.0
3.377 0.000 0.000
0.000 3.377 0.000
1.689 1.689 8.471
Sc P Li
2 1 2
direct
0.415 0.415 0.170
0.585 0.585 0.830
0.000 0.000 0.000
0.750 0.250 0.500
0.250 0.750 0.500
```

* D(E_F): 3.82 states/eV/f.u.
* DFT formation energy: -6.133 kcal/mol of atoms


# 7
This record from the Alexandria database describes CuHgAu3 after structural relaxation. The functional is PBE-GGA.

```
CuHgAu3
1.0
-2.567 -2.070 5.329
-4.011 -2.241 -4.262
5.986 -2.239 -1.659
Cu Hg Au
2 2 6
direct
0.598 0.769 0.367
0.402 0.231 0.633
0.779 0.060 0.839
0.221 0.940 0.161
0.882 0.132 0.372
0.240 0.490 0.372
0.760 0.510 0.628
0.701 0.431 0.132
0.118 0.868 0.628
0.299 0.569 0.868
```

* D(E_F): 1.63 states/eV/f.u.
* DFT formation energy: 3.042 kcal/mol of atoms
* offset from the most stable computed form: 0 meV/atom


# 8
This record from the Alexandria database describes Y4MgPt after structural relaxation. The functional is PBE-GGA.

```
Y4MgPt
1.0
-1.673 -5.814 1.131
-1.632 -1.681 5.692
-5.880 -1.322 1.252
Y Mg Pt
4 1 1
direct
0.877 0.374 0.374
0.374 0.374 0.877
0.374 0.877 0.374
0.374 0.374 0.374
0.750 0.750 0.750
0.000 0.000 0.000
```

* D(E_F): 5.42 states/eV/f.u.
* DFT formation energy: 8.067 kcal/mol of atoms
* offset from the most stable computed form: 874 meV/atom


Which of these has the lowest D(E_F)?
CuHgAu3


Look up the D(E_F) of the first one.
9.27 states/eV/f.u.